{
  "formula": "Er5In4",
  "functional": "PBE",
  "state": "relaxed",
  "lattice": [[-3.734, 5.868, -6.035], [-5.401, -5.620, 4.903], [-0.461, 4.561, 4.721]],
  "species": ["Er", "Er", "Er", "Er", "Er", "Er", "Er", "Er", "Er", "Er", "In", "In", "In", "In", "In", "In", "In", "In"],
  "frac_coords": [[0.291, 0.291, 0.250], [0.333, 0.667, 0.500], [0.000, 0.291, 0.750], [0.667, 0.333, 0.500], [0.291, 0.000, 0.750], [0.709, 0.000, 0.250], [0.333, 0.667, 0.000], [0.709, 0.709, 0.750], [0.667, 0.333, 0.000], [0.000, 0.709, 0.250], [0.629, 0.000, 0.750], [0.000, 0.629, 0.750], [0.371, 0.000, 0.250], [0.000, 0.000, 0.500], [0.000, 0.371, 0.250], [0.629, 0.629, 0.250], [0.000, 0.000, 0.000], [0.371, 0.371, 0.750]],
  "energy_ev_per_atom": -4.172
}